Material: NaLi2Cd2Sn2
Method: DFT, PBE-GGA
State: relaxed

## Properties
Final energy = -2.3502 eV per atom
DFT formation energy = -0.210 eV per atom

Lattice parameters (Å, degrees): 8.6991 8.6991 8.6991 32.33 32.33 32.33
Closest atoms and distances in Å follow each position.
Sites, in units of the cell vectors:
Na 0.0000 0.0000 0.0000  2 Li 3.36, 6 Sn 3.37
Li 0.1360 0.1360 0.1360  3 Cd 2.91, 4 Sn 3.00-3.17, 3 Li 3.18
Li 0.8640 0.8640 0.8640  3 Cd 2.91, 4 Sn 3.00-3.17, 3 Li 3.18
Cd 0.4362 0.4362 0.4362  3 Sn 2.88, 3 Li 2.91, 1 Cd 3.15
Cd 0.5638 0.5638 0.5638  3 Sn 2.88, 3 Li 2.91, 1 Cd 3.15
Sn 0.2574 0.2574 0.2574  3 Cd 2.88, 4 Li 3.00-3.17
Sn 0.7426 0.7426 0.7426  3 Cd 2.88, 4 Li 3.00-3.17